Record 1
Here is a relaxed NdTmCuTe3 crystal from OQMD via LeMat-Bulk. Energies are from PBE.

```
data_NdTmCuTe3
_chemical_formula_sum 'Nd4 Tm4 Cu4 Te12'
_symmetry_space_group_name_H-M 'C m c m'
_symmetry_Int_Tables_number 63
_symmetry_space_group_name_Hall '-C 2c 2'
_cell_length_a 4.1799
_cell_length_b 14.3513
_cell_length_c 11.0809
_cell_angle_alpha 90.00
_cell_angle_beta 90.00
_cell_angle_gamma 90.00
loop_
_atom_site_label
_atom_site_fract_x
_atom_site_fract_y
_atom_site_fract_z
Nd1 0.0000 0.2341 0.2500
Tm1 0.0000 0.0000 0.0000
Cu1 0.0000 0.4679 0.7500
Te1 0.0000 0.0876 0.7500
Te2 0.0000 0.3535 0.5631
```

- E: -4.765 eV per atom

Record 2
Here is a relaxed NdYTlCu2 crystal from OQMD via LeMat-Bulk. Energies are from PBE.

```
data_NdYTlCu2
_chemical_formula_sum 'Nd2 Y2 Tl2 Cu4'
_symmetry_space_group_name_H-M 'A m m 2'
_symmetry_Int_Tables_number 38
_cell_length_a 3.6544
_cell_length_b 4.3106
_cell_length_c 14.1727
_cell_angle_alpha 90.00
_cell_angle_beta 90.00
_cell_angle_gamma 90.00
loop_
_symmetry_equiv_pos_as_xyz
'x,y,z'
'-x,-y,z'
'-x,y,z'
'x,-y,z'
'x,y+1/2,z+1/2'
'-x,-y+1/2,z+1/2'
'-x,y+1/2,z+1/2'
'x,-y+1/2,z+1/2'
loop_
_atom_site_label
_atom_site_fract_x
_atom_site_fract_y
_atom_site_fract_z
Nd1 0.0000 0.0000 0.0000
Y1 0.0000 0.0000 0.2676
Tl1 0.5000 0.0000 0.6354
Cu1 0.5000 0.0000 0.4282
Cu2 0.5000 0.0000 0.8347
```

- E: -4.504 eV per atom

Record 3
Here is a relaxed NdYCu6 crystal from OQMD via LeMat-Bulk. Energies are from PBE.

```
data_NdYCu6
_chemical_formula_sum 'Nd1 Y1 Cu6'
_symmetry_space_group_name_H-M 'P m m 2'
_symmetry_Int_Tables_number 25
_cell_length_a 4.3385
_cell_length_b 5.9155
_cell_length_c 5.2472
_cell_angle_alpha 90.00
_cell_angle_beta 90.00
_cell_angle_gamma 90.00
loop_
_symmetry_equiv_pos_as_xyz
'x,y,z'
'-x,-y,z'
'-x,y,z'
'x,-y,z'
loop_
_atom_site_label
_atom_site_fract_x
_atom_site_fract_y
_atom_site_fract_z
Nd1 0.0000 0.0000 0.0000
Y1 0.5000 0.5000 0.2656
Cu1 0.0000 0.2244 0.4992
Cu2 0.0000 0.5000 0.8677
Cu3 0.5000 0.0000 0.4228
Cu4 0.5000 0.2902 0.7637
```

- E_form: -153 meV per atom

Record 4
Here is a relaxed NdYCu4 crystal from OQMD via LeMat-Bulk. Energies are from PBE.

```
data_NdYCu4
_chemical_formula_sum 'Nd2 Y2 Cu8'
_symmetry_space_group_name_H-M 'I m m 2'
_symmetry_Int_Tables_number 44
_cell_length_a 4.2964
_cell_length_b 6.9928
_cell_length_c 7.4102
_cell_angle_alpha 90.00
_cell_angle_beta 90.00
_cell_angle_gamma 90.00
loop_
_symmetry_equiv_pos_as_xyz
'x,y,z'
'-x,-y,z'
'-x,y,z'
'x,-y,z'
'x+1/2,y+1/2,z+1/2'
'-x+1/2,-y+1/2,z+1/2'
'-x+1/2,y+1/2,z+1/2'
'x+1/2,-y+1/2,z+1/2'
loop_
_atom_site_label
_atom_site_fract_x
_atom_site_fract_y
_atom_site_fract_z
Nd1 0.0000 0.0000 0.0000
Y1 0.0000 0.5000 0.9252
Cu1 0.0000 0.2035 0.6266
Cu2 0.0000 0.2953 0.2962
```

- E_form: -233 meV per atom

Record 5
Here is a relaxed NdZnCu crystal from OQMD via LeMat-Bulk. Energies are from PBE.

```
data_NdZnCu
_chemical_formula_sum 'Nd4 Zn4 Cu4'
_symmetry_space_group_name_H-M 'F -4 3 m'
_symmetry_Int_Tables_number 216
_symmetry_space_group_name_Hall 'F -4 2 3'
_cell_length_a 6.4418
_cell_length_b 6.4418
_cell_length_c 6.4418
_cell_angle_alpha 90.00
_cell_angle_beta 90.00
_cell_angle_gamma 90.00
loop_
_atom_site_label
_atom_site_fract_x
_atom_site_fract_y
_atom_site_fract_z
Nd1 0.0000 0.0000 0.0000
Zn1 0.0000 0.0000 0.5000
Cu1 0.2500 0.2500 0.2500
```

- E_form: -109 meV per atom

Record 6
Here is a relaxed Cu2Ni3 crystal from OQMD via LeMat-Bulk. Energies are from PBE.

```
data_Cu2Ni3
_chemical_formula_sum 'Cu12 Ni18'
_symmetry_space_group_name_H-M 'R -3 c'
_symmetry_Int_Tables_number 167
_symmetry_space_group_name_Hall '-R 3 2"c'
_cell_length_a 5.9189
_cell_length_b 5.9189
_cell_length_c 12.1889
_cell_angle_alpha 90.00
_cell_angle_beta 90.00
_cell_angle_gamma 120.00
loop_
_atom_site_label
_atom_site_fract_x
_atom_site_fract_y
_atom_site_fract_z
Cu1 0.0000 0.0000 0.0926
Ni1 0.0000 0.2389 0.2500
```

- E_form: 479 meV per atom

Record 7
Here is a relaxed Cu2Ni crystal from OQMD via LeMat-Bulk. Energies are from PBE.

```
data_Cu2Ni
_chemical_formula_sum 'Cu8 Ni4'
_symmetry_space_group_name_H-M 'F m -3 m'
_symmetry_Int_Tables_number 225
_symmetry_space_group_name_Hall '-F 4 2 3'
_cell_length_a 5.4672
_cell_length_b 5.4672
_cell_length_c 5.4672
_cell_angle_alpha 90.00
_cell_angle_beta 90.00
_cell_angle_gamma 90.00
loop_
_atom_site_label
_atom_site_fract_x
_atom_site_fract_y
_atom_site_fract_z
Cu1 0.2500 0.2500 0.2500
Ni1 0.0000 0.0000 0.0000
```

- E_form: 432 meV per atom

Record 8
Here is a relaxed CuNi3 crystal from OQMD via LeMat-Bulk. Energies are from PBE.

```
data_CuNi3
_chemical_formula_sum 'Cu2 Ni6'
_symmetry_space_group_name_H-M 'I 4/m m m'
_symmetry_Int_Tables_number 139
_symmetry_space_group_name_Hall '-I 4 2'
_cell_length_a 3.4867
_cell_length_b 3.4867
_cell_length_c 7.2107
_cell_angle_alpha 90.00
_cell_angle_beta 90.00
_cell_angle_gamma 90.00
loop_
_atom_site_label
_atom_site_fract_x
_atom_site_fract_y
_atom_site_fract_z
Cu1 0.0000 0.0000 0.0000
Ni1 0.0000 0.0000 0.5000
Ni2 0.0000 0.5000 0.2500
```

- E_form: 31 meV per atom

Record 9
Here is a relaxed Cu2Ni crystal from OQMD via LeMat-Bulk. Energies are from PBE.

```
data_Cu2Ni
_chemical_formula_sum 'Cu4 Ni2'
_symmetry_space_group_name_H-M 'P 42/m n m'
_symmetry_Int_Tables_number 136
_symmetry_space_group_name_Hall '-P 4n 2n'
_cell_length_a 4.9727
_cell_length_b 4.9727
_cell_length_c 3.7443
_cell_angle_alpha 90.00
_cell_angle_beta 90.00
_cell_angle_gamma 90.00
loop_
_atom_site_label
_atom_site_fract_x
_atom_site_fract_y
_atom_site_fract_z
Cu1 0.1819 0.1819 0.0000
Ni1 0.0000 0.0000 0.5000
```

- E_form: 844 meV per atom

Record 10
Here is a relaxed NpCuNi crystal from OQMD via LeMat-Bulk. Energies are from PBE.

```
data_NpCuNi
_chemical_formula_sum 'Np4 Cu4 Ni4'
_symmetry_space_group_name_H-M 'F -4 3 m'
_symmetry_Int_Tables_number 216
_symmetry_space_group_name_Hall 'F -4 2 3'
_cell_length_a 5.9705
_cell_length_b 5.9705
_cell_length_c 5.9705
_cell_angle_alpha 90.00
_cell_angle_beta 90.00
_cell_angle_gamma 90.00
loop_
_atom_site_label
_atom_site_fract_x
_atom_site_fract_y
_atom_site_fract_z
Np1 0.0000 0.0000 0.0000
Cu1 0.2500 0.2500 0.7500
Ni1 0.0000 0.0000 0.5000
```

- E_form: 827 meV per atom

Record 11
Here is a relaxed CuNiOsPb crystal from OQMD via LeMat-Bulk. Energies are from PBE.

```
data_CuNiOsPb
_chemical_formula_sum 'Cu4 Ni4 Os4 Pb4'
_symmetry_space_group_name_H-M 'F -4 3 m'
_symmetry_Int_Tables_number 216
_symmetry_space_group_name_Hall 'F -4 2 3'
_cell_length_a 6.2741
_cell_length_b 6.2741
_cell_length_c 6.2741
_cell_angle_alpha 90.00
_cell_angle_beta 90.00
_cell_angle_gamma 90.00
loop_
_atom_site_label
_atom_site_fract_x
_atom_site_fract_y
_atom_site_fract_z
Cu1 0.0000 0.0000 0.0000
Ni1 0.2500 0.2500 0.2500
Os1 0.0000 0.0000 0.5000
Pb1 0.2500 0.2500 0.7500
```

- E: -5.403 eV per atom

Record 12
Here is a relaxed CuNiOsPb crystal from OQMD via LeMat-Bulk. Energies are from PBE.

```
data_CuNiOsPb
_chemical_formula_sum 'Cu4 Ni4 Os4 Pb4'
_symmetry_space_group_name_H-M 'F -4 3 m'
_symmetry_Int_Tables_number 216
_symmetry_space_group_name_Hall 'F -4 2 3'
_cell_length_a 6.2126
_cell_length_b 6.2126
_cell_length_c 6.2126
_cell_angle_alpha 90.00
_cell_angle_beta 90.00
_cell_angle_gamma 90.00
loop_
_atom_site_label
_atom_site_fract_x
_atom_site_fract_y
_atom_site_fract_z
Cu1 0.0000 0.0000 0.0000
Ni1 0.0000 0.0000 0.5000
Os1 0.2500 0.2500 0.2500
Pb1 0.2500 0.2500 0.7500
```

- E: -5.361 eV per atom

Record 13
Here is a relaxed CuNiSnOs crystal from OQMD via LeMat-Bulk. Energies are from PBE.

```
data_CuNiSnOs
_chemical_formula_sum 'Cu4 Ni4 Sn4 Os4'
_symmetry_space_group_name_H-M 'F -4 3 m'
_symmetry_Int_Tables_number 216
_symmetry_space_group_name_Hall 'F -4 2 3'
_cell_length_a 6.1573
_cell_length_b 6.1573
_cell_length_c 6.1573
_cell_angle_alpha 90.00
_cell_angle_beta 90.00
_cell_angle_gamma 90.00
loop_
_atom_site_label
_atom_site_fract_x
_atom_site_fract_y
_atom_site_fract_z
Cu1 0.0000 0.0000 0.0000
Ni1 0.2500 0.2500 0.2500
Sn1 0.2500 0.2500 0.7500
Os1 0.0000 0.0000 0.5000
```

- E: -5.840 eV per atom

Record 14
Here is a relaxed TlCuNiOs crystal from OQMD via LeMat-Bulk. Energies are from PBE.

```
data_TlCuNiOs
_chemical_formula_sum 'Tl4 Cu4 Ni4 Os4'
_symmetry_space_group_name_H-M 'F -4 3 m'
_symmetry_Int_Tables_number 216
_symmetry_space_group_name_Hall 'F -4 2 3'
_cell_length_a 6.1756
_cell_length_b 6.1756
_cell_length_c 6.1756
_cell_angle_alpha 90.00
_cell_angle_beta 90.00
_cell_angle_gamma 90.00
loop_
_atom_site_label
_atom_site_fract_x
_atom_site_fract_y
_atom_site_fract_z
Tl1 0.0000 0.0000 0.0000
Cu1 0.2500 0.2500 0.2500
Ni1 0.2500 0.2500 0.7500
Os1 0.0000 0.0000 0.5000
```

- E: -5.045 eV per atom

Record 15
Here is a relaxed TlCuNiOs crystal from OQMD via LeMat-Bulk. Energies are from PBE.

```
data_TlCuNiOs
_chemical_formula_sum 'Tl4 Cu4 Ni4 Os4'
_symmetry_space_group_name_H-M 'F -4 3 m'
_symmetry_Int_Tables_number 216
_symmetry_space_group_name_Hall 'F -4 2 3'
_cell_length_a 6.2348
_cell_length_b 6.2348
_cell_length_c 6.2348
_cell_angle_alpha 90.00
_cell_angle_beta 90.00
_cell_angle_gamma 90.00
loop_
_atom_site_label
_atom_site_fract_x
_atom_site_fract_y
_atom_site_fract_z
Tl1 0.0000 0.0000 0.0000
Cu1 0.2500 0.2500 0.2500
Ni1 0.0000 0.0000 0.5000
Os1 0.2500 0.2500 0.7500
```

- E: -4.991 eV per atom

Record 16
Here is a relaxed ZnCuNiOs crystal from OQMD via LeMat-Bulk. Energies are from PBE.

```
data_ZnCuNiOs
_chemical_formula_sum 'Zn4 Cu4 Ni4 Os4'
_symmetry_space_group_name_H-M 'F -4 3 m'
_symmetry_Int_Tables_number 216
_symmetry_space_group_name_Hall 'F -4 2 3'
_cell_length_a 5.8967
_cell_length_b 5.8967
_cell_length_c 5.8967
_cell_angle_alpha 90.00
_cell_angle_beta 90.00
_cell_angle_gamma 90.00
loop_
_atom_site_label
_atom_site_fract_x
_atom_site_fract_y
_atom_site_fract_z
Zn1 0.0000 0.0000 0.0000
Cu1 0.2500 0.2500 0.2500
Ni1 0.0000 0.0000 0.5000
Os1 0.2500 0.2500 0.7500
```

- E_form: 280 meV per atom

Record 17
Here is a relaxed ZnCuNiOs crystal from OQMD via LeMat-Bulk. Energies are from PBE.

```
data_ZnCuNiOs
_chemical_formula_sum 'Zn4 Cu4 Ni4 Os4'
_symmetry_space_group_name_H-M 'F -4 3 m'
_symmetry_Int_Tables_number 216
_symmetry_space_group_name_Hall 'F -4 2 3'
_cell_length_a 5.8957
_cell_length_b 5.8957
_cell_length_c 5.8957
_cell_angle_alpha 90.00
_cell_angle_beta 90.00
_cell_angle_gamma 90.00
loop_
_atom_site_label
_atom_site_fract_x
_atom_site_fract_y
_atom_site_fract_z
Zn1 0.0000 0.0000 0.0000
Cu1 0.2500 0.2500 0.2500
Ni1 0.2500 0.2500 0.7500
Os1 0.0000 0.0000 0.5000
```

- E_form: 288 meV per atom

Record 18
Here is a relaxed PrCuNiP2 crystal from OQMD via LeMat-Bulk. Energies are from PBE.

```
data_PrCuNiP2
_chemical_formula_sum 'Pr2 Cu2 Ni2 P4'
_symmetry_space_group_name_H-M 'I -4 m 2'
_symmetry_Int_Tables_number 119
_symmetry_space_group_name_Hall 'I -4 -2'
_cell_length_a 3.9523
_cell_length_b 3.9523
_cell_length_c 10.0791
_cell_angle_alpha 90.00
_cell_angle_beta 90.00
_cell_angle_gamma 90.00
loop_
_atom_site_label
_atom_site_fract_x
_atom_site_fract_y
_atom_site_fract_z
Pr1 0.0000 0.0000 0.0000
Cu1 0.0000 0.5000 0.7500
Ni1 0.0000 0.5000 0.2500
P1 0.0000 0.0000 0.3713
```

- E: -5.787 eV per atom

Record 19
Here is a relaxed CuSiNiP3 crystal from OQMD via LeMat-Bulk. Energies are from PBE.

```
data_CuSiNiP3
_chemical_formula_sum 'Cu2 Si2 Ni2 P6'
_symmetry_space_group_name_H-M 'C 1 m 1'
_symmetry_Int_Tables_number 8
_cell_length_a 11.5784
_cell_length_b 3.4317
_cell_length_c 5.7109
_cell_angle_alpha 90.00
_cell_angle_beta 118.01
_cell_angle_gamma 90.00
loop_
_symmetry_equiv_pos_as_xyz
'x,y,z'
'x,-y,z'
'x+1/2,y+1/2,z'
'x+1/2,-y+1/2,z'
loop_
_atom_site_label
_atom_site_fract_x
_atom_site_fract_y
_atom_site_fract_z
Cu1 0.0000 0.0000 0.0000
Si1 0.3481 0.0000 0.3788
Ni1 0.2024 0.5000 0.6990
P1 0.0327 0.5000 0.7740
P2 0.1668 0.0000 0.4328
P3 0.3413 0.5000 0.1201
```

- E: -5.265 eV per atom

Record 20
Here is a relaxed CuNi2P4W crystal from OQMD via LeMat-Bulk. Energies are from PBE.

```
data_CuNi2P4W
_chemical_formula_sum 'Cu1 Ni2 P4 W1'
_symmetry_space_group_name_H-M 'P -6 m 2'
_symmetry_Int_Tables_number 187
_symmetry_space_group_name_Hall 'P -6 2'
_cell_length_a 3.4382
_cell_length_b 3.4382
_cell_length_c 10.5774
_cell_angle_alpha 90.00
_cell_angle_beta 90.00
_cell_angle_gamma 120.00
loop_
_atom_site_label
_atom_site_fract_x
_atom_site_fract_y
_atom_site_fract_z
Cu1 0.0000 0.0000 0.0000
Ni1 0.0000 0.0000 0.2399
P1 0.3333 0.6667 0.1272
P2 0.6667 0.3333 0.3580
W1 0.0000 0.0000 0.5000
```

- E: -6.424 eV per atom

V list, top to bottom, in Å³ per atom: 27.7 22.3 16.8 18.6 22.3 12.3 13.6 11.0 15.4 17.7 15.4 15.0 14.6 14.7 15.1 12.8 12.8 15.7 16.7 13.5